(1)
The following is a DFT calculation (GGA-PBE) of an optimized crystal structure of NaLiBS2.

```
data_NaLiBS2
_chemical_formula_sum 'Na4 Li4 B4 S8'
_cell_length_a 6.477
_cell_length_b 12.622
_cell_length_c 4.540
_cell_angle_alpha 90.00
_cell_angle_beta 90.00
_cell_angle_gamma 90.00
_symmetry_space_group_name_H-M 'C m m e'
_symmetry_Int_Tables_number 67
_symmetry_space_group_name_Hall '-C 2a 2'
loop_
_atom_site_label
_atom_site_type_symbol
_atom_site_fract_x
_atom_site_fract_y
_atom_site_fract_z
_atom_site_occupancy
Na1 Na 0.000 0.250 0.246 1
Li1 Li 0.250 0.000 0.000 1
B1 B 0.000 0.000 0.500 1
S1 S 0.000 0.112 0.724 1
```

Computed properties:
ΔE_f (raw): -46.3 kJ per mole of atoms

=====

(2)
The following is a DFT calculation (GGA-PBE) of an optimized crystal structure of NaSrLi2B.

```
data_NaSrLi2B
_chemical_formula_sum 'Na1 Sr1 Li2 B1'
_cell_length_a 6.071
_cell_length_b 6.071
_cell_length_c 4.997
_cell_angle_alpha 90.00
_cell_angle_beta 90.00
_cell_angle_gamma 90.00
_symmetry_space_group_name_H-M 'P 4/m m m'
_symmetry_Int_Tables_number 123
_symmetry_space_group_name_Hall '-P 4 2'
loop_
_atom_site_label
_atom_site_type_symbol
_atom_site_fract_x
_atom_site_fract_y
_atom_site_fract_z
_atom_site_occupancy
Na1 Na 0.000 0.000 0.000 1
Sr1 Sr 0.500 0.500 0.500 1
Li1 Li 0.000 0.500 0.500 1
B1 B 0.500 0.500 0.000 1
```

Computed properties:
Formation enthalpy at 0 K: 1.1430 eV per atom

=====

(3)
The following is a DFT calculation (GGA-PBE) of an optimized crystal structure of Na2LiTaB.

```
data_Na2LiTaB
_chemical_formula_sum 'Na2 Li1 Ta1 B1'
_cell_length_a 5.972
_cell_length_b 5.972
_cell_length_c 4.219
_cell_angle_alpha 90.00
_cell_angle_beta 90.00
_cell_angle_gamma 90.00
_symmetry_space_group_name_H-M 'P 4/m m m'
_symmetry_Int_Tables_number 123
_symmetry_space_group_name_Hall '-P 4 2'
loop_
_atom_site_label
_atom_site_type_symbol
_atom_site_fract_x
_atom_site_fract_y
_atom_site_fract_z
_atom_site_occupancy
Na1 Na 0.000 0.500 0.000 1
Li1 Li 0.000 0.000 0.500 1
Ta1 Ta 0.500 0.500 0.000 1
B1 B 0.500 0.500 0.500 1
```

Computed properties:
Formation enthalpy at 0 K: 1.2524 eV per atom

=====

(4)
The following is a DFT calculation (GGA-PBE) of an optimized crystal structure of LiNbB.

```
data_LiNbB
_chemical_formula_sum 'Li4 Nb4 B4'
_cell_length_a 8.331
_cell_length_b 2.999
_cell_length_c 6.769
_cell_angle_alpha 90.00
_cell_angle_beta 96.07
_cell_angle_gamma 90.00
_symmetry_space_group_name_H-M 'C 1 m 1'
_symmetry_Int_Tables_number 8
_symmetry_space_group_name_Hall 'C -2y'
loop_
_atom_site_label
_atom_site_type_symbol
_atom_site_fract_x
_atom_site_fract_y
_atom_site_fract_z
_atom_site_occupancy
Li1 Li 0.000 0.000 0.000 1
Li2 Li 0.236 0.500 0.144 1
Nb1 Nb 0.243 0.000 0.733 1
Nb2 Nb 0.458 0.000 0.450 1
B1 B 0.166 0.000 0.382 1
B2 B 0.242 0.500 0.457 1
```

Computed properties:
Energy above the most stable polymorph in this dataset: 88 meV per atom
Formation enthalpy at 0 K: -0.0230 eV per atom

=====

Number 1: DOS(E_F) 0.50 states/eV per atom. Number 2: DOS(E_F) 0.79 states/eV per atom. Number 3: DOS(E_F) 0.94 states/eV per atom. Number 4: DOS(E_F) 0.53 states/eV per atom.